No. 1
The following is a PBE calculation of a relaxed structure of Pr6P3S2Cl, from the Alexandria database.

abc: 4.1537 8.3849 9.3556
angles: 103.47 102.83 90.00
Closest atoms and distances in Å follow each position.
Element x y z (fractional)
Pr (0.3251, 0.9175, 0.6502)  3 P 2.85-2.92, 2 S 2.97, 1 Cl 3.10
Pr (0.6659, 0.5875, 0.3317)  3 P 2.93-2.94, 3 S 2.99
Pr (0.6749, 0.0825, 0.3498)  3 P 2.85-2.92, 2 S 2.97, 1 Cl 3.10
Pr (0.9984, 0.2704, 0.9969)  3 P 2.83-2.89, 1 S 2.96, 2 Cl 3.08
Pr (0.0016, 0.7296, 0.0031)  3 P 2.83-2.89, 1 S 2.96, 2 Cl 3.08
Pr (0.3341, 0.4125, 0.6683)  3 P 2.93-2.94, 3 S 2.99
P (0.5000, 0.5000, 0.0000)  6 Pr 2.83-2.94
P (0.8356, 0.1663, 0.6711)  6 Pr 2.85-2.93
P (0.1644, 0.8337, 0.3289)  6 Pr 2.85-2.93
S (0.8347, 0.6701, 0.6694)  6 Pr 2.96-2.99
S (0.1653, 0.3299, 0.3306)  6 Pr 2.96-2.99
Cl (0.5000, 0.0000, 0.0000)  6 Pr 3.08-3.10

Properties
For the formation energy (no corrections), the calculation gives -1.7646 eV per atom. The crystal system is monoclinic.

=====

No. 2
The following is a PBE calculation of a relaxed structure of TeSe2Cl5, from the Alexandria database.

abc: 6.4328 8.9011 8.4441
angles: 60.95 61.08 57.40
Closest atoms and distances in Å follow each position.
Element x y z (fractional)
Te (0.0399, 0.0037, 0.9874)  4 Cl 2.34-2.59
Se (0.5073, 0.4581, 0.4504)  1 Se 2.18
Se (0.0954, 0.5989, 0.5815)  1 Se 2.18
Cl (0.9451, 0.9289, 0.3792)  1 Se 2.48
Cl (0.0886, 0.6901, 0.0460)  1 Te 2.45
Cl (0.9719, 0.3328, 0.9497)  1 Te 2.59, 1 Se 2.90
Cl (0.0967, 0.0915, 0.6579)  1 Te 2.39
Cl (0.4780, 0.8960, 0.9479)  1 Te 2.34

Properties
For the formation energy (no corrections), the calculation gives -0.3225 eV per atom. The crystal system is triclinic.

=====

No. 3
The following is a PBE calculation of a relaxed structure of Be3AgAu, from the Alexandria database.

abc: 4.2902 4.2902 4.2902
angles: 90.00 90.00 90.00
Closest atoms and distances in Å follow each position.
Element x y z (fractional)
Be (0.0000, 0.5000, 0.0000)  2 Ag 2.15
Be (0.0000, 0.0000, 0.5000)  2 Ag 2.15
Be (0.5000, 0.0000, 0.0000)  2 Ag 2.15
Au (0.5000, 0.5000, 0.5000)  12 Be 3.03
Ag (0.0000, 0.0000, 0.0000)  6 Be 2.15

Properties
The crystal system is cubic. For the calculated formation energy, the calculation gives 0.858 eV per atom. The energy above the most stable polymorph in this dataset is 292.1 meV/atom.

=====

No. 4
The following is a PBE calculation of a relaxed structure of MnAl2Fe, from the Alexandria database.

abc: 5.6879 5.6879 5.6879
angles: 56.12 152.90 131.86
Closest atoms and distances in Å follow each position.
Element x y z (fractional)
Mn (0.0000, 0.0000, 0.0000)  2 Al 2.59, 2 Mn 2.67, 4 Fe 2.68
Fe (0.0000, 0.5000, 0.5000)  2 Al 2.43, 2 Fe 2.67, 4 Mn 2.68
Al (0.0000, 0.2581, 0.2581)  1 Fe 2.43, 1 Mn 2.59, 6 Al 2.67-2.68
Al (0.0000, 0.7419, 0.7419)  1 Fe 2.43, 1 Mn 2.59, 6 Al 2.67-2.68

Properties
The crystal system is orthorhombic. For the calculated formation energy, the calculation gives 0.501 eV per atom.